[1]
! GGA-PBE Be2MoPH, optimized geometry; values from VASP
&SYSTEM
  ibrav = 0, nat = 5, ntyp = 4
/
ATOMIC_SPECIES
Mo 95.94 Mo.upf
Be 9.01 Be.upf
H 1.01 H.upf
P 30.97 P.upf
CELL_PARAMETERS angstrom
-0.239 1.840 2.866
-2.480 -2.916 1.665
2.736 -1.608 1.260
ATOMIC_POSITIONS angstrom
Mo 0.008 -1.342 2.895
Be 1.368 -0.804 0.630
Be -0.120 0.920 1.433
H 0.000 0.000 0.000
P -1.240 -1.458 0.832
! total energy = -5.202 eV/atom
! DOS at the Fermi energy = 2.2 states/eV per cell
! crystal system = tetragonal
! V = 49 Å³ per cell



[2]
! GGA-PBE EuPaSb2, optimized geometry; values from VASP
&SYSTEM
  ibrav = 0, nat = 4, ntyp = 3
/
ATOMIC_SPECIES
Pa 231.04 Pa.upf
Sb 121.76 Sb.upf
Eu 151.96 Eu.upf
CELL_PARAMETERS angstrom
-2.353 -1.059 2.824
2.977 -1.389 1.960
0.979 6.900 3.403
ATOMIC_POSITIONS angstrom
Pa 0.312 -1.224 2.392
Sb 0.223 1.575 0.777
Sb 0.755 5.325 2.626
Eu 0.801 2.226 4.094
! total energy = -7.661 eV/atom
! DOS at the Fermi energy = 5.2 states/eV per cell
! crystal system = tetragonal
! raw formation energy = -0.657 eV per atom
! polymorph energy (0 for the lowest one) = 109 meV per atom
! V = 113 Å³ per cell



[3]
! GGA-PBE NaPd2Pt2, optimized geometry; values from VASP
&SYSTEM
  ibrav = 0, nat = 5, ntyp = 3
/
ATOMIC_SPECIES
Pd 106.42 Pd.upf
Pt 195.08 Pt.upf
Na 22.99 Na.upf
CELL_PARAMETERS angstrom
-0.869 -3.137 2.316
0.569 -2.449 -3.104
5.615 -3.309 1.071
ATOMIC_POSITIONS angstrom
Pd 3.017 -4.276 -1.214
Pd 2.298 -4.619 1.496
Pt 1.027 -2.898 -0.095
Pt 4.288 -5.997 0.377
Na 0.000 0.000 0.000
! total energy = -4.603 eV/atom
! DOS at the Fermi energy = 6.6 states/eV per cell
! crystal system = tetragonal
! polymorph energy (0 for the lowest one) = 243 meV per atom
! V = 95 Å³ per cell
! ΔE_f = 154.5 meV/atom



[4]
! GGA-PBE VHg2GeP, optimized geometry; values from VASP
&SYSTEM
  ibrav = 0, nat = 5, ntyp = 4
/
ATOMIC_SPECIES
Ge 72.64 Ge.upf
V 50.94 V.upf
P 30.97 P.upf
Hg 200.59 Hg.upf
CELL_PARAMETERS angstrom
5.156 0.000 0.000
0.000 4.769 0.000
0.000 0.000 5.156
ATOMIC_POSITIONS angstrom
Ge 0.000 2.384 0.000
V 0.000 0.000 0.000
P 2.578 2.384 2.578
Hg 0.000 0.000 2.578
Hg 2.578 0.000 0.000
! total energy = -2.895 eV/atom
! DOS at the Fermi energy = 6.2 states/eV per cell
! crystal system = tetragonal
! V = 127 Å³ per cell
! ΔE_f = 1055.1 meV/atom



[5]
! GGA-PBE Er5Te4Se, optimized geometry; values from VASP
&SYSTEM
  ibrav = 0, nat = 10, ntyp = 3
/
ATOMIC_SPECIES
Er 167.26 Er.upf
Te 127.60 Te.upf
Se 78.96 Se.upf
CELL_PARAMETERS angstrom
-0.164 0.523 -4.148
0.291 -4.140 -0.533
-15.786 0.641 2.816
ATOMIC_POSITIONS angstrom
Er -12.960 -2.776 -1.947
Er -2.700 -0.201 0.082
Er 0.064 -1.808 -2.341
Er -6.657 -2.308 -2.137
Er -9.002 -0.669 0.272
Te -12.527 -0.930 0.379
Te -5.944 -0.442 0.180
Te -9.715 -2.535 -2.045
Te -3.132 -2.046 -2.244
Se 0.000 0.000 0.000
! total energy = -5.202 eV/atom
! DOS at the Fermi energy = 3.4 states/eV per cell
! crystal system = tetragonal
! raw formation energy = -1.316 eV per atom
! V = 276 Å³ per cell



[6]
! GGA-PBE TcAg, optimized geometry; values from VASP
&SYSTEM
  ibrav = 0, nat = 2, ntyp = 2
/
ATOMIC_SPECIES
Ag 107.87 Ag.upf
Tc 98.00 Tc.upf
CELL_PARAMETERS angstrom
3.816 0.000 0.000
1.908 3.305 0.000
1.908 1.102 3.116
ATOMIC_POSITIONS angstrom
Ag 0.000 0.000 0.000
Tc 3.816 2.203 1.558
! total energy = -4.912 eV/atom
! DOS at the Fermi energy = 2.7 states/eV per cell
! crystal system = cubic
! polymorph energy (0 for the lowest one) = 1524 meV per atom
! V = 39 Å³ per cell
! ΔE_f = 1696.3 meV/atom



[7]
! GGA-PBE LaSnF, optimized geometry; values from VASP
&SYSTEM
  ibrav = 0, nat = 3, ntyp = 3
/
ATOMIC_SPECIES
F 19.00 F.upf
La 138.91 La.upf
Sn 118.71 Sn.upf
CELL_PARAMETERS angstrom
-2.555 2.285 -0.496
-2.142 -2.582 -0.859
0.694 -0.429 6.544
ATOMIC_POSITIONS angstrom
F -0.907 -0.317 3.214
La -3.079 -0.404 1.911
Sn -0.018 -0.006 0.064
! total energy = -5.398 eV/atom
! DOS at the Fermi energy = 1.5 states/eV per cell
! crystal system = tetragonal
! raw formation energy = -1.797 eV per atom
! polymorph energy (0 for the lowest one) = 194 meV per atom
! V = 73 Å³ per cell



[8]
! GGA-PBE ReSbP2O, optimized geometry; values from VASP
&SYSTEM
  ibrav = 0, nat = 5, ntyp = 4
/
ATOMIC_SPECIES
P 30.97 P.upf
Sb 121.76 Sb.upf
Re 186.21 Re.upf
O 16.00 O.upf
CELL_PARAMETERS angstrom
-4.685 1.458 0.886
0.856 -0.229 4.907
1.138 3.671 -0.027
ATOMIC_POSITIONS angstrom
P -2.343 0.729 0.443
P 0.428 -0.115 2.453
Sb 0.000 0.000 0.000
Re -1.346 2.450 2.883
O 0.569 1.835 -0.014
! total energy = -5.362 eV/atom
! DOS at the Fermi energy = 1.5 states/eV per cell
! crystal system = tetragonal
! raw formation energy = 1.107 eV per atom
! polymorph energy (0 for the lowest one) = 1203 meV per atom
! V = 96 Å³ per cell



[9]
! GGA-PBE AlCrSb2, optimized geometry; values from VASP
&SYSTEM
  ibrav = 0, nat = 4, ntyp = 3
/
ATOMIC_SPECIES
Sb 121.76 Sb.upf
Cr 52.00 Cr.upf
Al 26.98 Al.upf
CELL_PARAMETERS angstrom
-2.652 2.025 0.263
-2.047 -2.614 -0.426
-0.120 -1.137 7.554
ATOMIC_POSITIONS angstrom
Sb -0.117 -1.104 7.334
Sb -0.064 -0.602 3.996
Cr -2.440 -1.147 5.583
Al -2.380 -0.579 1.807
! total energy = -5.114 eV/atom
! DOS at the Fermi energy = 2.4 states/eV per cell
! crystal system = orthorhombic
! raw formation energy = 0.289 eV per atom
! V = 86 Å³ per cell



[10]
! GGA-PBE VSiS, optimized geometry; values from VASP
&SYSTEM
  ibrav = 0, nat = 3, ntyp = 3
/
ATOMIC_SPECIES
S 32.06 S.upf
Si 28.09 Si.upf
V 50.94 V.upf
CELL_PARAMETERS angstrom
-1.575 -1.426 -2.033
2.238 0.228 -1.894
1.846 -4.394 1.652
ATOMIC_POSITIONS angstrom
S 1.402 -3.147 -1.006
Si 0.582 -1.195 -1.739
V 1.543 -3.672 1.380
! total energy = -6.588 eV/atom
! DOS at the Fermi energy = 2.6 states/eV per cell
! crystal system = tetragonal
! raw formation energy = -0.365 eV per atom
! V = 44 Å³ per cell



[11]
! GGA-PBE TaSiHg2, optimized geometry; values from VASP
&SYSTEM
  ibrav = 0, nat = 4, ntyp = 3
/
ATOMIC_SPECIES
Hg 200.59 Hg.upf
Ta 180.95 Ta.upf
Si 28.09 Si.upf
CELL_PARAMETERS angstrom
5.727 0.001 0.000
3.085 4.825 0.000
-4.406 -2.413 2.750
ATOMIC_POSITIONS angstrom
Hg 4.406 2.413 0.000
Hg 0.000 0.000 0.000
Ta 2.863 0.000 1.375
Si 1.542 2.412 1.375
! total energy = -4.053 eV/atom
! DOS at the Fermi energy = 1.6 states/eV per cell
! crystal system = tetragonal
! raw formation energy = 0.417 eV per atom
! V = 76 Å³ per cell



[12]
! GGA-PBE SiSb2Cl, optimized geometry; values from VASP
&SYSTEM
  ibrav = 0, nat = 4, ntyp = 3
/
ATOMIC_SPECIES
Cl 35.45 Cl.upf
Sb 121.76 Sb.upf
Si 28.09 Si.upf
CELL_PARAMETERS angstrom
-1.330 -1.230 -2.901
-3.904 -2.626 2.903
-2.972 4.034 -0.349
ATOMIC_POSITIONS angstrom
Cl -3.438 0.704 1.277
Sb 0.000 0.000 0.000
Sb -2.617 -1.928 0.001
Si -2.151 1.402 -1.625
! total energy = -3.522 eV/atom
! DOS at the Fermi energy = 1.8 states/eV per cell
! crystal system = orthorhombic
! raw formation energy = 0.357 eV per atom
! polymorph energy (0 for the lowest one) = 323 meV per atom
! V = 95 Å³ per cell



[13]
! GGA-PBE HfMn2NiH, optimized geometry; values from VASP
&SYSTEM
  ibrav = 0, nat = 5, ntyp = 4
/
ATOMIC_SPECIES
Mn 54.94 Mn.upf
Hf 178.49 Hf.upf
H 1.01 H.upf
Ni 58.69 Ni.upf
CELL_PARAMETERS angstrom
3.894 0.000 0.000
0.000 3.894 0.000
0.000 0.000 3.792
ATOMIC_POSITIONS angstrom
Mn 0.000 1.947 0.000
Mn 1.947 0.000 0.000
Hf 1.947 1.947 1.896
H 0.000 0.000 0.000
Ni 0.000 0.000 1.896
! total energy = -7.593 eV/atom
! DOS at the Fermi energy = 3.6 states/eV per cell
! crystal system = tetragonal
! polymorph energy (0 for the lowest one) = 10 meV per atom
! V = 57 Å³ per cell



[14]
! GGA-PBE HfNbSnPd2, optimized geometry; values from VASP
&SYSTEM
  ibrav = 0, nat = 5, ntyp = 4
/
ATOMIC_SPECIES
Pd 106.42 Pd.upf
Sn 118.71 Sn.upf
Hf 178.49 Hf.upf
Nb 92.91 Nb.upf
CELL_PARAMETERS angstrom
4.764 0.000 0.000
0.000 5.314 0.000
0.000 0.000 4.764
ATOMIC_POSITIONS angstrom
Pd 2.382 0.000 0.000
Pd 0.000 0.000 2.382
Sn 0.000 2.657 0.000
Hf 0.000 0.000 0.000
Nb 2.382 2.657 2.382
! total energy = -5.910 eV/atom
! DOS at the Fermi energy = 6.0 states/eV per cell
! crystal system = tetragonal
! V = 121 Å³ per cell
! ΔE_f = 972.2 meV/atom



[15]
! GGA-PBE SrTc2AgO8, optimized geometry; values from VASP
&SYSTEM
  ibrav = 0, nat = 12, ntyp = 4
/
ATOMIC_SPECIES
O 16.00 O.upf
Sr 87.62 Sr.upf
Tc 98.00 Tc.upf
Ag 107.87 Ag.upf
CELL_PARAMETERS angstrom
5.663 -0.218 0.002
2.419 5.125 0.002
0.377 0.229 7.599
ATOMIC_POSITIONS angstrom
O 6.140 3.728 0.390
O 3.675 3.948 1.888
O 5.198 1.439 1.888
O 2.263 1.374 4.352
O 2.319 1.408 7.214
O 4.784 1.187 5.717
O 6.196 3.762 3.252
O 3.260 3.697 5.717
Sr 0.189 0.115 3.800
Tc 5.297 3.216 1.837
Tc 3.161 1.919 5.767
Ag 0.000 0.000 0.000
! total energy = -6.953 eV/atom
! DOS at the Fermi energy = 6.2 states/eV per cell
! crystal system = monoclinic
! raw formation energy = -1.542 eV per atom
! V = 225 Å³ per cell



[16]
! GGA-PBE CaAc6Sn2, optimized geometry; values from VASP
&SYSTEM
  ibrav = 0, nat = 18, ntyp = 3
/
ATOMIC_SPECIES
Ac 227.00 Ac.upf
Sn 118.71 Sn.upf
Ca 40.08 Ca.upf
CELL_PARAMETERS angstrom
-0.931 3.717 -4.159
1.087 -9.034 -8.308
-9.841 -6.488 -3.588
ATOMIC_POSITIONS angstrom
Ac -4.063 -0.781 -5.546
Ac -4.451 -8.367 -8.394
Ac -6.727 -6.086 -9.692
Ac -2.957 -5.718 -6.364
Ac -5.622 -11.024 -10.509
Ac 0.551 -6.183 -7.565
Ac -10.236 -5.621 -8.490
Ac -1.203 -3.197 -4.501
Ac -1.294 -9.455 -10.072
Ac -8.391 -2.350 -5.983
Ac -8.481 -8.608 -11.554
Ac -5.233 -3.438 -7.661
Sn -7.852 -8.782 -8.000
Sn -5.157 -3.999 -4.339
Sn -4.528 -7.806 -11.716
Sn -1.833 -3.023 -8.056
Ca -2.278 -5.625 -10.275
Ca -7.407 -6.180 -5.780
! total energy = -4.050 eV/atom
! DOS at the Fermi energy = 21.5 states/eV per cell
! crystal system = orthorhombic
! V = 738 Å³ per cell
! ΔE_f = -199.5 meV/atom



[17]
! GGA-PBE SmScSb, optimized geometry; values from VASP
&SYSTEM
  ibrav = 0, nat = 3, ntyp = 3
/
ATOMIC_SPECIES
Sb 121.76 Sb.upf
Sc 44.96 Sc.upf
Sm 150.36 Sm.upf
CELL_PARAMETERS angstrom
3.881 0.000 0.000
0.000 3.881 0.000
-1.940 -1.940 5.321
ATOMIC_POSITIONS angstrom
Sb 0.000 0.000 2.828
Sc 1.940 1.940 1.486
Sm 1.940 1.940 4.732
! total energy = -5.660 eV/atom
! DOS at the Fermi energy = 2.1 states/eV per cell
! crystal system = tetragonal
! raw formation energy = -0.602 eV per atom
! V = 80 Å³ per cell



[18]
! GGA-PBE Nd5Ru2Pb, optimized geometry; values from VASP
&SYSTEM
  ibrav = 0, nat = 16, ntyp = 3
/
ATOMIC_SPECIES
Nd 144.24 Nd.upf
Pb 207.20 Pb.upf
Ru 101.07 Ru.upf
CELL_PARAMETERS angstrom
7.201 0.000 -3.399
-1.605 7.020 -3.399
-0.120 -0.151 9.072
ATOMIC_POSITIONS angstrom
Nd 2.798 3.510 -3.399
Nd -0.731 3.599 4.801
Nd 4.683 1.358 3.571
Nd 2.897 2.001 -0.212
Nd 6.207 3.270 -2.527
Nd 2.579 4.868 2.486
Nd 0.000 0.000 0.000
Nd 4.103 6.780 -3.611
Nd 1.373 0.089 5.886
Nd 0.793 5.511 -1.297
Pb 1.339 1.680 2.837
Pb 4.137 5.190 -0.562
Ru 1.204 6.026 -4.136
Ru 4.393 0.994 -2.662
Ru 0.444 2.516 -1.700
Ru 5.152 4.504 -5.099
! total energy = -6.091 eV/atom
! DOS at the Fermi energy = 15.4 states/eV per cell
! crystal system = tetragonal
! V = 451 Å³ per cell
! ΔE_f = -328.8 meV/atom



[19]
! GGA-PBE SmTm3Te6, optimized geometry; values from VASP
&SYSTEM
  ibrav = 0, nat = 10, ntyp = 3
/
ATOMIC_SPECIES
Te 127.60 Te.upf
Sm 150.36 Sm.upf
Tm 168.93 Tm.upf
CELL_PARAMETERS angstrom
-1.153 -2.349 -7.208
-3.279 -6.802 -1.338
-7.774 -0.019 -2.830
ATOMIC_POSITIONS angstrom
Te -7.347 -3.078 -3.171
Te -4.831 -5.966 -8.181
Te -6.947 -2.218 -7.647
Te -5.305 -6.976 -3.848
Te -3.438 -3.092 -5.048
Te -8.831 -6.140 -6.231
Sm -7.362 -7.740 -8.537
Tm -3.102 -6.029 -5.697
Tm -4.798 -1.452 -2.839
Tm -9.067 -3.158 -5.679
! total energy = -5.038 eV/atom
! crystal system = trigonal
! raw formation energy = -1.340 eV per atom
! polymorph energy (0 for the lowest one) = 26 meV per atom
! V = 356 Å³ per cell



[20]
! GGA-PBE LaDyHf, optimized geometry; values from VASP
&SYSTEM
  ibrav = 0, nat = 6, ntyp = 3
/
ATOMIC_SPECIES
Hf 178.49 Hf.upf
La 138.91 La.upf
Dy 162.50 Dy.upf
CELL_PARAMETERS angstrom
3.779 0.000 0.000
0.000 3.779 0.000
0.000 0.000 12.851
ATOMIC_POSITIONS angstrom
Hf 1.890 0.000 0.657
Hf 0.000 1.890 12.195
La 1.890 0.000 5.151
La 0.000 1.890 7.701
Dy 1.890 0.000 10.297
Dy 0.000 1.890 2.554
! total energy = -6.385 eV/atom
! DOS at the Fermi energy = 9.9 states/eV per cell
! crystal system = tetragonal
! polymorph energy (0 for the lowest one) = 0 meV per atom
! V = 184 Å³ per cell
! ΔE_f = 109.3 meV/atom